The following is a GGA+U calculation of crystalline CoBiNO at its relaxed geometry, from OQMD.

a b c (Å): 4.798 4.798 4.658
angles (deg): 90.00 90.00 90.00
Fractional positions:
1 Bi 0.750 0.250 0.500
2 Bi 0.250 0.750 0.500
3 Co 0.250 0.250 0.001
4 Co 0.750 0.750 0.999
5 N 0.750 0.750 0.494
6 N 0.250 0.250 0.506
7 O 0.750 0.250 0.000
8 O 0.250 0.750 0.000

calculated density: 9.227 g cm⁻³
relative energy among the computed polymorphs: 0.331 eV per atom
magnetic moment: 5.3 μB per cell